No. 1
Entry from Alexandria via LeMat-Bulk: a relaxed structure of V2Pd2Ru (GGA-PBE).

a = 4.369 Å, b = 4.369 Å, c = 4.794 Å
α = 89.98°, β = 89.98°, γ = 118.51°
Atoms (fractional coordinates):
V 0.499 0.499 0.253
Pd 0.831 0.169 0.500
Ru 0.000 0.000 0.000
V 0.501 0.501 0.747
Pd 0.169 0.831 0.500

The value obtained for the calculated total energy is -7.237 eV per atom. For the density of states at the Fermi level, the calculation gives 5.38 states/eV/cell. Its symmetry is No. 65.


No. 2
Entry from Alexandria via LeMat-Bulk: a relaxed structure of VPd2Ru (GGA-PBE).

a = 4.342 Å, b = 5.436 Å, c = 4.869 Å
α = 90.00°, β = 90.00°, γ = 90.00°
Atoms (fractional coordinates):
V 0.250 0.750 0.147
Ru 0.750 0.750 0.848
Pd 0.750 0.000 0.336
Pd 0.250 0.500 0.664
Pd 0.750 0.500 0.336
V 0.750 0.250 0.853
Pd 0.250 0.000 0.664
Ru 0.250 0.250 0.152

The value obtained for the calculated total energy is -7.320 eV per atom. For the density of states at the Fermi level, the calculation gives 9.49 states/eV/cell. Its symmetry is No. 59. As for the excess energy over the best structure of this formula in the dataset: 0 meV per atom.


No. 3
Entry from Alexandria via LeMat-Bulk: a relaxed structure of VPdRu (GGA-PBE).

a = 2.937 Å, b = 12.953 Å, c = 4.502 Å
α = 90.00°, β = 90.00°, γ = 90.00°
Atoms (fractional coordinates):
V 0.500 0.335 0.171
Ru 0.000 0.680 0.684
V 0.500 0.165 0.671
V 0.500 0.665 0.171
Pd 0.000 0.000 0.834
Pd 0.500 0.000 0.333
Pd 0.000 0.500 0.334
V 0.500 0.835 0.671
Ru 0.000 0.180 0.184
Pd 0.500 0.500 0.833
Ru 0.000 0.820 0.184
Ru 0.000 0.320 0.684

The value obtained for the calculated total energy is -8.046 eV per atom. For the density of states at the Fermi level, the calculation gives 12.65 states/eV/cell. Its symmetry is No. 38. As for the excess energy over the best structure of this formula in the dataset: 5 meV per atom.


Number 1: energy of formation 343 meV per atom. Number 2: energy of formation -125 meV per atom. Number 3: energy of formation -184 meV per atom.